No. 1
VASP calculation (PBE) on a geometry-optimized SiPtSe2 structure.

Computed properties:
DOS(E_F)	4.5	states/eV/f.u.
formation energy (no corrections)	0.375	eV/atom
electronic total energy	-4.234	eV per atom
symmetry	I-4m2 (119)

Cell lengths 7.3452, 7.3452, 7.3452 Å; angles 151.69, 151.69, 40.46 degrees
Last column: nearest neighbours and their distance in Å.
Fractional coordinates of all 4 atoms:
Si 0.0000 0.0000 0.0000  4 Se 2.54
Pt 0.2500 0.7500 0.5000  4 Se 2.54
Se 0.5000 0.5000 0.0000  4 Si 2.54
Se 0.7500 0.2500 0.5000  4 Pt 2.54


No. 2
VASP calculation (PBE) on a geometry-optimized MnIrPb2 structure.

Computed properties:
polymorph energy (0 for the lowest one)	326.5	meV per atom
DOS(E_F)	2.6	states/eV/f.u.
energy of formation	0.498	eV/atom
electronic total energy	-5.864	eV per atom
symmetry	I-4m2 (119)

Cell lengths 5.5098, 5.5098, 5.5098 Å; angles 135.06, 135.06, 65.43 degrees
Last column: nearest neighbours and their distance in Å.
Fractional coordinates of all 4 atoms:
Mn 0.0000 0.0000 0.0000  8 Pb 2.98-3.13, 4 Ir 3.13
Ir 0.7500 0.2500 0.5000  8 Pb 2.98-3.13, 4 Mn 3.13
Pb 0.2500 0.7500 0.5000  4 Ir 2.98, 4 Mn 3.13, 4 Pb 3.13
Pb 0.5000 0.5000 0.0000  4 Mn 2.98, 4 Pb 3.13, 4 Ir 3.13


The highest DOS(E_F) belongs to which entry?
SiPtSe2